# 1
## Pa2TlCoS8 (PBE)

Data for Pa2TlCoS8 after structural relaxation.

Cell: 5.814 5.814 9.085 Å, 90.00 90.00 120.00°
Fractional coordinates of all 12 atoms:
S 0.172 0.344 0.153
S 0.828 0.172 0.847
Tl 0.000 0.000 0.500
S 0.333 0.667 0.609
S 0.656 0.828 0.153
Co 0.000 0.000 0.000
Pa 0.667 0.333 0.124
S 0.667 0.333 0.391
Pa 0.333 0.667 0.876
S 0.344 0.172 0.847
S 0.172 0.828 0.153
S 0.828 0.656 0.847

E_form (uncorrected) in eV/atom: -0.87
Energy in eV/atom: -5.989
M_tot in μB/f.u.: 0.00

=====

# 2
## Sc2Co2Ir (PBE)

Data for Sc2Co2Ir after structural relaxation.

Cell: 6.359 6.359 3.834 Å, 90.00 90.00 90.00°
Fractional coordinates of all 10 atoms:
Sc 0.683 0.817 0.500
Co 0.122 0.378 0.000
Ir 0.000 0.000 0.000
Co 0.622 0.122 0.000
Sc 0.317 0.183 0.500
Ir 0.500 0.500 0.000
Sc 0.183 0.683 0.500
Co 0.878 0.622 0.000
Co 0.378 0.878 0.000
Sc 0.817 0.317 0.500

Energy in eV/atom: -7.576
M_tot in μB/f.u.: 0.00
DFT formation energy in eV per atom: -0.43

=====

# 3
## Ce2TmPb9 (PBE)

Data for Ce2TmPb9 after structural relaxation.

Cell: 4.903 4.903 14.643 Å, 90.00 90.00 90.00°
Last column: magnetic moment on the atom in μB.
Fractional coordinates of all 12 atoms:
Pb 0.000 0.500 0.163  0.01
Pb 0.500 0.000 0.500  0.01
Pb 0.500 0.500 0.332  0.01
Pb 0.000 0.500 0.500  0.01
Pb 0.500 0.500 0.000  0.01
Tm 0.000 0.000 0.000  -0.01
Ce 0.000 0.000 0.665  0.82
Pb 0.500 0.000 0.163  0.01
Pb 0.000 0.500 0.837  0.01
Ce 0.000 0.000 0.335  0.82
Pb 0.500 0.500 0.668  0.01
Pb 0.500 0.000 0.837  0.01

Energy in eV/atom: -4.449
M_tot in μB/f.u.: 2.03
DFT formation energy in eV per atom: -0.31

=====

# 4
## NdB4Rh4 (PBE)

Data for NdB4Rh4 after structural relaxation.

Cell: 4.022 7.579 7.579 Å, 90.00 90.00 90.00°
Fractional coordinates of all 18 atoms:
Rh 0.391 0.344 0.889
B 0.392 0.288 0.162
B 0.392 0.712 0.838
Rh 0.109 0.156 0.611
Rh 0.109 0.844 0.389
Rh 0.609 0.111 0.344
B 0.108 0.788 0.662
Rh 0.609 0.889 0.656
B 0.608 0.162 0.712
Rh 0.391 0.656 0.111
Nd 0.500 0.500 0.500
B 0.608 0.838 0.288
Rh 0.891 0.611 0.844
B 0.892 0.662 0.212
Rh 0.891 0.389 0.156
B 0.108 0.212 0.338
Nd 0.000 0.000 0.000
B 0.892 0.338 0.788

Energy in eV/atom: -7.345
ΔE to the lowest computed polymorph in eV/atom: 0.000
M_tot in μB/f.u.: 0.00
DFT formation energy in eV per atom: -0.58

=====

# 5
## BeCdMo2 (PBE)

Data for BeCdMo2 after structural relaxation.

Cell: 4.420 4.420 4.420 Å, 60.00 60.00 60.00°
Fractional coordinates of all 4 atoms:
Cd 0.500 0.500 0.500
Be 0.000 0.000 0.000
Mo 0.250 0.250 0.250
Mo 0.750 0.750 0.750

Energy in eV/atom: -5.833
ΔE to the lowest computed polymorph in eV/atom: 0.484
M_tot in μB/f.u.: 0.00
DFT formation energy in eV per atom: 0.74

=====

# 6
## NaCuBi2 (PBE)

Data for NaCuBi2 after structural relaxation.

Cell: 5.166 5.166 5.166 Å, 60.00 60.00 60.00°
Fractional coordinates of all 4 atoms:
Cu 0.500 0.500 0.500
Bi 0.750 0.750 0.750
Bi 0.250 0.250 0.250
Na 0.000 0.000 0.000

Energy in eV/atom: -3.204
ΔE to the lowest computed polymorph in eV/atom: 0.086
M_tot in μB/f.u.: 0.00
DFT formation energy in eV per atom: 0.09

=====

# 7
## Rb2MnSiTe4 (PBE)

Data for Rb2MnSiTe4 after structural relaxation.

Cell: 6.497 8.149 13.886 Å, 84.65 76.47 66.51°
Last column: magnetic moment on the atom in μB.
Fractional coordinates of all 16 atoms:
Rb 0.934 0.500 0.131  0.00
Si 0.250 0.500 0.500  0.01
Te 0.432 0.697 0.392  0.05
Te 0.575 0.197 0.108  0.05
Rb 0.184 0.000 0.631  0.00
Rb 0.566 0.500 0.869  0.00
Te 0.318 0.803 0.108  0.05
Te 0.522 0.303 0.608  0.05
Mn 0.750 0.500 0.500  4.12
Mn 0.000 0.000 0.000  4.12
Te 0.175 0.303 0.392  0.05
Te 0.879 0.803 0.892  0.05
Te 0.228 0.197 0.892  0.05
Si 0.500 0.000 0.000  0.01
Rb 0.816 0.000 0.369  0.00
Te 0.871 0.697 0.608  0.05

E_form (uncorrected) in eV/atom: -0.53
Energy in eV/atom: -4.163
M_tot in μB/f.u.: 5.00